No. 1
Density functional theory data (PBE-GGA) for a relaxed Er8CoNi2 crystal.

Calculated values
- ΔE_f: -0.11 eV per atom
- Polymorph energy (0 for the lowest one): 0.0852 eV/atom
- Crystal system: monoclinic
- Space-group type: Cm
- N(E_F): 11.7 states/eV per cell
- E: -5.13 eV/atom

Cell lengths 7.303, 7.303, 5.950 Å; angles 100.82, 100.82, 112.21 degrees
Sites, in units of the cell vectors:
Er  0.000  0.000  0.000
Er  0.020  0.282  0.567
Er  0.149  0.561  0.184
Er  0.282  0.020  0.567
Er  0.437  0.700  0.778
Er  0.561  0.149  0.184
Er  0.700  0.437  0.778
Er  0.712  0.712  0.367
Co  0.353  0.353  0.368
Ni  0.047  0.675  0.677
Ni  0.675  0.047  0.677


No. 2
Density functional theory data (PBE-GGA) for a relaxed PmNbSb crystal.

Calculated values
- Crystal system: tetragonal
- Space-group type: P4_2/m
- N(E_F): 10.5 states/eV per cell
- E: -6.66 eV/atom

Cell lengths 9.567, 9.567, 3.624 Å; angles 90.00, 90.00, 90.00 degrees
Sites, in units of the cell vectors:
Pm  0.139  0.250  0.000
Pm  0.250  0.861  0.500
Pm  0.750  0.139  0.500
Pm  0.861  0.750  0.000
Nb  0.339  0.462  0.500
Nb  0.462  0.661  0.000
Nb  0.538  0.339  0.000
Nb  0.661  0.538  0.500
Sb  0.157  0.597  0.000
Sb  0.403  0.157  0.500
Sb  0.597  0.843  0.500
Sb  0.843  0.403  0.000


No. 3
Density functional theory data (PBE-GGA) for a relaxed Mg2PaCuN4 crystal.

Calculated values
- Crystal system: orthorhombic
- Space-group type: Cmcm
- N(E_F): 9.9 states/eV per cell
- E: -6.78 eV/atom

Cell lengths 5.688, 5.688, 10.464 Å; angles 90.00, 90.00, 145.70 degrees
Sites, in units of the cell vectors:
Mg  0.119  0.881  0.549
Mg  0.119  0.881  0.951
Mg  0.881  0.119  0.049
Mg  0.881  0.119  0.451
Pa  0.406  0.594  0.750
Pa  0.594  0.406  0.250
Cu  0.331  0.669  0.250
Cu  0.669  0.331  0.750
N  0.059  0.941  0.750
N  0.197  0.803  0.132
N  0.197  0.803  0.368
N  0.500  0.500  0.000
N  0.500  0.500  0.500
N  0.803  0.197  0.632
N  0.803  0.197  0.868
N  0.941  0.059  0.250


No. 4
Density functional theory data (PBE-GGA) for a relaxed BaYAg4 crystal.

Calculated values
- ΔE_f: -0.08 eV per atom
- Crystal system: cubic
- Space-group type: F-43m
- N(E_F): 4.1 states/eV per cell
- E: -3.38 eV/atom

Cell lengths 5.912, 5.912, 5.912 Å; angles 60.00, 60.00, 60.00 degrees
Sites, in units of the cell vectors:
Ba  0.000  0.000  0.000
Y  0.750  0.750  0.750
Ag  0.376  0.376  0.376
Ag  0.376  0.376  0.871
Ag  0.376  0.871  0.376
Ag  0.871  0.376  0.376


No. 5
Density functional theory data (PBE-GGA) for a relaxed HfAgSe3 crystal.

Calculated values
- Polymorph energy (0 for the lowest one): 0.0000 eV/atom
- Crystal system: monoclinic
- Space-group type: P2_1/c
- N(E_F): 11.2 states/eV per cell
- E: -5.29 eV/atom

Cell lengths 8.594, 6.686, 9.754 Å; angles 90.00, 102.33, 90.00 degrees
Sites, in units of the cell vectors:
Hf  0.072  0.243  0.086
Hf  0.072  0.257  0.586
Hf  0.928  0.743  0.414
Hf  0.928  0.757  0.914
Ag  0.416  0.635  0.373
Ag  0.416  0.865  0.873
Ag  0.584  0.135  0.127
Ag  0.584  0.365  0.627
Se  0.050  0.080  0.338
Se  0.050  0.420  0.838
Se  0.213  0.586  0.530
Se  0.213  0.914  0.030
Se  0.366  0.151  0.689
Se  0.366  0.349  0.189
Se  0.634  0.651  0.811
Se  0.634  0.849  0.311
Se  0.787  0.086  0.970
Se  0.787  0.414  0.470
Se  0.950  0.580  0.162
Se  0.950  0.920  0.662


No. 6
Density functional theory data (PBE-GGA) for a relaxed MgRhCl crystal.

Calculated values
- Polymorph energy (0 for the lowest one): 0.3412 eV/atom
- Crystal system: trigonal
- Space-group type: P3m1
- N(E_F): 3.4 states/eV per cell
- E: -3.97 eV/atom

Cell lengths 3.129, 3.129, 6.228 Å; angles 90.00, 90.00, 120.00 degrees
Sites, in units of the cell vectors:
Mg  0.000  0.000  0.000
Rh  0.333  0.667  0.318
Cl  0.667  0.333  0.727


No. 7
Density functional theory data (PBE-GGA) for a relaxed PmMg2PN4 crystal.

Calculated values
- Crystal system: orthorhombic
- Space-group type: Pmn2_1
- N(E_F): 0.0 states/eV per cell
- E: -6.86 eV/atom

Cell lengths 6.960, 5.626, 5.305 Å; angles 90.00, 90.00, 90.00 degrees
Sites, in units of the cell vectors:
Pm  0.000  0.140  0.000
Pm  0.500  0.860  0.500
Mg  0.244  0.340  0.512
Mg  0.256  0.660  0.012
Mg  0.744  0.660  0.012
Mg  0.756  0.340  0.512
P  0.000  0.811  0.519
P  0.500  0.189  0.019
N  0.000  0.110  0.467
N  0.000  0.762  0.831
N  0.197  0.690  0.398
N  0.303  0.310  0.898
N  0.500  0.238  0.331
N  0.500  0.890  0.967
N  0.697  0.310  0.898
N  0.803  0.690  0.398


No. 8
Density functional theory data (PBE-GGA) for a relaxed Er4AlOs crystal.

Calculated values
- ΔE_f: -0.33 eV per atom
- Polymorph energy (0 for the lowest one): 0.0000 eV/atom
- Crystal system: cubic
- Space-group type: F-43m
- N(E_F): 20.2 states/eV per cell
- E: -5.86 eV/atom

Cell lengths 9.456, 9.456, 9.456 Å; angles 60.00, 60.00, 60.00 degrees
Sites, in units of the cell vectors:
Er  0.055  0.055  0.445
Er  0.055  0.445  0.055
Er  0.055  0.445  0.445
Er  0.192  0.192  0.808
Er  0.192  0.808  0.192
Er  0.192  0.808  0.808
Er  0.199  0.600  0.600
Er  0.445  0.055  0.055
Er  0.445  0.055  0.445
Er  0.445  0.445  0.055
Er  0.600  0.199  0.600
Er  0.600  0.600  0.199
Er  0.600  0.600  0.600
Er  0.808  0.192  0.192
Er  0.808  0.192  0.808
Er  0.808  0.808  0.192
Al  0.519  0.827  0.827
Al  0.827  0.519  0.827
Al  0.827  0.827  0.519
Al  0.827  0.827  0.827
Os  0.389  0.389  0.389
Os  0.389  0.389  0.832
Os  0.389  0.832  0.389
Os  0.832  0.389  0.389